First-principles (PBE) data for a relaxed Dy3SbH crystal, as listed in the Alexandria database.

Properties
The calculation puts the volume at 23.75 A^3/atom. Its relative energy among the computed polymorphs is 0.0000 eV/atom.

Cell: 6.4815 3.9329 9.4779 Å, 90.00 100.55 90.00°
Last column: nearest neighbours and their distance in Å.
Space group P2_1/m (No. 11)
Unique sites:
Dy (0.0912, 0.2500, 0.3518) x2  2 H 2.49
Dy (0.2667, 0.7500, 0.0878) x2  1 H 2.45
Dy (0.4050, 0.7500, 0.6239) x2  3 H 2.55-2.61
Sb (0.2186, 0.2500, 0.8366) x2  8 Dy 3.06-3.35
H (0.3261, 0.7500, 0.3501) x2  6 Dy 2.45-2.61

***

First-principles (PBE) data for a relaxed Dy3SbH crystal, as listed in the Alexandria database.

Properties
The calculation puts the volume at 21.74 A^3/atom. Its relative energy among the computed polymorphs is 0.0253 eV/atom.

Cell: 4.7727 4.7727 4.7727 Å, 90.00 90.00 90.00°
Last column: nearest neighbours and their distance in Å.
Space group Pm-3m (No. 221)
Unique sites:
Dy (0.0000, 0.0000, 0.5000) x3  2 H 2.39
Sb (0.5000, 0.5000, 0.5000) x1  12 Dy 3.37
H (0.0000, 0.0000, 0.0000) x1  6 Dy 2.39

***

First-principles (PBE) data for a relaxed Dy5Sb2H2 crystal, as listed in the Alexandria database.

Properties
The calculation puts the volume at 22.71 A^3/atom. The raw total energy comes out at -85.356 eV per cell.

Cell: 12.2925 5.3507 6.4620 Å, 90.00 105.93 90.00°
Last column: nearest neighbours and their distance in Å.
Space group C2/m (No. 12)
Unique sites:
Dy (0.0000, 0.0000, 0.0000) x2  2 H 2.26
Dy (0.1466, 0.0000, 0.5522) x4  1 H 2.16
Dy (0.1704, 0.5000, 0.8747) x4  1 H 2.20
Sb (0.0934, 0.5000, 0.3076) x4  7 Dy 3.07-3.34
H (0.1607, 0.0000, 0.8934) x4  3 Dy 2.16-2.26

***

First-principles (PBE) data for a relaxed Dy4SbH crystal, as listed in the Alexandria database.

Properties
The calculation puts the volume at 24.86 A^3/atom. The raw total energy comes out at -55.003 eV per cell.

Cell: 5.9986 5.9993 8.8729 Å, 83.20 70.37 89.98°
Last column: nearest neighbours and their distance in Å.
Space group P-1 (No. 2)
Unique sites:
Dy (0.0584, 0.2916, 0.0995) x2  1 H 2.13
Dy (0.2068, 0.2445, 0.6894) x2  1 H 2.83, 1 Dy 3.16
Dy (0.3427, 0.7917, 0.0993) x2  1 H 2.13
Dy (0.3990, 0.2558, 0.3109) x2  1 H 2.84, 1 Dy 3.16
Sb (0.2160, 0.7502, 0.4995) x2  10 Dy 3.28-3.57
H (0.0000, 0.0000, 0.0000) x1  2 Dy 2.13
H (0.5000, 0.5000, 0.0000) x1  2 Dy 2.13

***

First-principles (PBE) data for a relaxed Dy2SbH crystal, as listed in the Alexandria database.

Properties
The calculation puts the volume at 21.09 A^3/atom. Its relative energy among the computed polymorphs is 0.0000 eV/atom.

Cell: 4.4575 4.4575 8.4923 Å, 90.00 90.00 90.00°
Last column: nearest neighbours and their distance in Å.
Space group P4/nmm (No. 129, origin choice 2)
Unique sites:
Dy (0.2500, 0.2500, 0.1441) x2  1 H 2.29
Dy (0.2500, 0.7500, 0.5000) x2  4 H 2.35
Sb (0.2500, 0.2500, 0.7789) x2  1 H 3.10, 9 Dy 3.10-3.25
H (0.2500, 0.2500, 0.4137) x2  5 Dy 2.29-2.35

***

First-principles (PBE) data for a relaxed Dy3Sb3H2 crystal, as listed in the Alexandria database.

Properties
The calculation puts the volume at 21.68 A^3/atom. The raw total energy comes out at -155.508 eV per cell.

Cell: 3.9941 11.4786 15.1324 Å, 90.00 90.00 90.00°
Last column: nearest neighbours and their distance in Å.
Space group Cmcm (No. 63)
Unique sites:
Dy (0.0000, 0.1457, 0.0512) x8  3 H 2.20-2.22
Dy (0.0000, 0.1519, 0.7500) x4  7 Sb 3.12-3.22, 2 H 3.20
Sb (0.0000, 0.1281, 0.2500) x4  5 Dy 3.01-3.22
Sb (0.0000, 0.4365, 0.1062) x8  7 Dy 3.12-3.44, 4 H 3.14-3.44
H (0.0000, 0.2708, 0.5589) x8  3 Dy 2.20-2.22